1.
Entry from Alexandria via LeMat-Bulk: TbPr2Sm3 after structural relaxation (PBE-GGA).

abc: 6.3402 6.3399 11.8010
angles: 90.00 90.00 120.00
Fractional coordinates of all 12 atoms:
Sm: 0.6697 0.0000 0.2500
Sm: 0.0000 0.3304 0.7500
Sm: 0.6696 0.6697 0.7500
Sm: 0.3303 0.0000 0.7500
Sm: 0.3304 0.3303 0.2500
Sm: 0.0000 0.6696 0.2500
Pr: 0.3333 0.6667 0.4999
Pr: 0.6667 0.3333 0.0000
Pr: 0.6667 0.3333 0.5001
Pr: 0.3333 0.6667 0.0000
Tb: 0.0000 0.0000 0.0000
Tb: 0.0000 0.0000 0.5000

Total moment = 0.00 μB per atom
Formation enthalpy at 0 K = 0.0001 eV/atom
Symmetry = No. 193
E above lowest polymorph = 0 meV/atom
E_tot = -4.7244 eV/atom
D(E_F) = 13.30 states/eV per cell
Volume = 410.8 Å³/cell



2.
Entry from Alexandria via LeMat-Bulk: Tb5Pr6Sm after structural relaxation (PBE-GGA).

abc: 5.1730 10.2362 9.6354
angles: 122.09 105.56 90.00
Fractional coordinates of all 12 atoms:
Tb: 0.3332 0.3332 0.6665
Tb: 0.0000 0.5000 0.0000
Tb: 0.6671 0.1670 0.3341
Tb: 0.3329 0.8330 0.6659
Tb: 0.6668 0.6668 0.3335
Pr: 0.8332 0.0838 0.6664
Pr: 0.5000 0.2509 0.0000
Pr: 0.5000 0.7491 0.0000
Pr: 0.1668 0.9162 0.3336
Pr: 0.1668 0.4174 0.3336
Pr: 0.8332 0.5826 0.6664
Sm: 0.0000 0.0000 0.0000

Total moment = 0.00 μB per atom
Formation enthalpy at 0 K = 0.0144 eV/atom
Symmetry = No. 71
E_tot = -4.6979 eV/atom
D(E_F) = 16.33 states/eV per cell
Volume = 410.0 Å³/cell



3.
Entry from Alexandria via LeMat-Bulk: Tb5Pr2Sm5 after structural relaxation (PBE-GGA).

abc: 5.1068 8.0846 10.8470
angles: 72.67 76.38 71.59
Fractional coordinates of all 12 atoms:
Sm: 0.1667 0.1664 0.5003
Sm: 0.0000 0.0000 0.0000
Sm: 0.8333 0.8336 0.4997
Sm: 0.2485 0.7514 0.7515
Sm: 0.7515 0.2486 0.2485
Tb: 0.5837 0.0823 0.7502
Tb: 0.4163 0.9177 0.2498
Tb: 0.5000 0.5000 0.5000
Tb: 0.6668 0.6671 0.9993
Tb: 0.3332 0.3329 0.0007
Pr: 0.9170 0.4157 0.7503
Pr: 0.0830 0.5843 0.2497

Total moment = 0.00 μB per atom
Formation enthalpy at 0 K = 0.0156 eV/atom
Symmetry = No. 12
E_tot = -4.6765 eV/atom
D(E_F) = 17.59 states/eV per cell
Volume = 400.7 Å³/cell



4.
Entry from Alexandria via LeMat-Bulk: Tb2Pr5Sm12 after structural relaxation (PBE-GGA).

abc: 8.2791 10.2128 9.2148
angles: 71.30 90.00 113.91
Fractional coordinates of all 19 atoms:
Pr: 0.0000 0.0000 0.5000
Pr: 0.6964 0.3928 0.8178
Pr: 0.7617 0.5234 0.2116
Pr: 0.3036 0.6072 0.1821
Pr: 0.2383 0.4766 0.7884
Sm: 0.6588 0.7275 0.8504
Sm: 0.0778 0.6908 0.4672
Sm: 0.0687 0.7275 0.8504
Sm: 0.6131 0.6908 0.4672
Sm: 0.9222 0.3092 0.5328
Sm: 0.4912 0.9825 0.6731
Sm: 0.3412 0.2725 0.1496
Sm: 0.0483 0.0966 0.8252
Sm: 0.9517 0.9034 0.1748
Sm: 0.5088 0.0175 0.3269
Sm: 0.3869 0.3092 0.5328
Sm: 0.9313 0.2725 0.1496
Tb: 0.6747 0.0000 0.0000
Tb: 0.3253 0.0000 0.0000

Total moment = 0.00 μB per atom
Formation enthalpy at 0 K = 0.2003 eV/atom
Symmetry = No. 12
E above lowest polymorph = 101 meV/atom
E_tot = -4.5254 eV/atom
D(E_F) = 26.43 states/eV per cell
Volume = 667.0 Å³/cell



5.
Entry from Alexandria via LeMat-Bulk: Tb8Pr4Sm3 after structural relaxation (PBE-GGA).

abc: 6.8482 9.3735 9.3735
angles: 87.12 111.50 111.50
Fractional coordinates of all 15 atoms:
Tb: 0.5242 0.2677 0.2677
Tb: 0.0000 0.6401 0.3599
Tb: 0.9962 0.7295 0.7295
Tb: 0.5000 0.7426 0.2574
Tb: 0.4758 0.7323 0.7323
Tb: 0.0038 0.2705 0.2705
Tb: 0.0000 0.3599 0.6401
Tb: 0.5000 0.2574 0.7426
Sm: 0.5000 0.0000 0.5000
Sm: 0.5000 0.5000 0.5000
Sm: 0.5000 0.5000 0.0000
Pr: 0.0000 0.5000 0.0000
Pr: 0.0000 0.0000 0.5000
Pr: 0.0000 0.0000 0.0000
Pr: 0.5000 0.0000 0.0000

Total moment = 0.00 μB per atom
Formation enthalpy at 0 K = 0.3480 eV/atom
Symmetry = No. 12
E above lowest polymorph = 228 meV/atom
E_tot = -4.3398 eV/atom
D(E_F) = 29.66 states/eV per cell
Volume = 518.4 Å³/cell



6.
Entry from Alexandria via LeMat-Bulk: Tb5PrSm5 after structural relaxation (PBE-GGA).

abc: 6.1492 6.1492 11.6801
angles: 90.00 90.00 120.00
Fractional coordinates of all 11 atoms:
Tb: 0.8325 0.6649 0.5000
Tb: 0.0000 0.0000 0.7341
Tb: 0.3351 0.1675 0.5000
Tb: 0.8325 0.1675 0.5000
Tb: 0.0000 0.0000 0.2659
Sm: 0.3333 0.6667 0.6753
Sm: 0.6667 0.3333 0.8420
Sm: 0.6667 0.3333 0.1580
Sm: 0.3333 0.6667 0.3247
Sm: 0.0000 0.0000 0.0000
Pr: 0.3333 0.6667 0.0000

Total moment = 0.00 μB per atom
Formation enthalpy at 0 K = 0.2960 eV/atom
Symmetry = No. 187
E_tot = -4.3882 eV/atom
D(E_F) = 19.23 states/eV per cell
Volume = 382.5 Å³/cell



7.
Entry from Alexandria via LeMat-Bulk: Tb5Pr2Sm12 after structural relaxation (PBE-GGA).

abc: 9.3447 12.5918 8.7347
angles: 132.85 90.00 111.78
Fractional coordinates of all 19 atoms:
Sm: 0.5623 0.1245 0.7872
Sm: 0.9118 0.8236 0.7049
Sm: 0.5663 0.7476 0.4098
Sm: 0.3342 0.3080 0.0681
Sm: 0.0262 0.6920 0.9319
Sm: 0.4377 0.8755 0.2128
Sm: 0.6658 0.6920 0.9319
Sm: 0.4337 0.2524 0.5902
Sm: 0.9738 0.3080 0.0681
Sm: 0.1813 0.7476 0.4098
Sm: 0.8187 0.2524 0.5902
Sm: 0.0882 0.1764 0.2951
Tb: 0.7698 0.5396 0.1108
Tb: 0.7004 0.4009 0.3824
Tb: 0.2996 0.5991 0.6176
Tb: 0.0000 0.0000 0.5000
Tb: 0.2302 0.4604 0.8892
Pr: 0.3225 0.0000 0.0000
Pr: 0.6775 0.0000 0.0000

Total moment = 0.00 μB per atom
Formation enthalpy at 0 K = 0.1309 eV/atom
Symmetry = No. 12
E above lowest polymorph = 7 meV/atom
E_tot = -4.5712 eV/atom
D(E_F) = 27.61 states/eV per cell
Volume = 649.9 Å³/cell



8.
Entry from Alexandria via LeMat-Bulk: Tb6Pr5Sm2 after structural relaxation (PBE-GGA).

abc: 3.6395 11.8035 20.7758
angles: 90.00 90.00 90.00
Fractional coordinates of all 26 atoms:
Tb: 0.0000 0.5788 0.1327
Tb: 0.0000 0.4212 0.8673
Tb: 0.0000 0.4384 0.5792
Tb: 0.0000 0.9212 0.6327
Tb: 0.5000 0.3223 0.1348
Tb: 0.5000 0.8223 0.3652
Tb: 0.5000 0.1777 0.6348
Tb: 0.0000 0.5616 0.4208
Tb: 0.5000 0.6777 0.8652
Tb: 0.0000 0.9384 0.9208
Tb: 0.0000 0.0616 0.0792
Tb: 0.0000 0.0788 0.3673
Sm: 0.0000 0.1732 0.7865
Sm: 0.0000 0.3268 0.2865
Sm: 0.0000 0.8268 0.2135
Sm: 0.0000 0.6732 0.7135
Pr: 0.5000 0.3005 0.4490
Pr: 0.5000 0.0000 0.5000
Pr: 0.5000 0.0830 0.2247
Pr: 0.5000 0.6995 0.5510
Pr: 0.5000 0.1995 0.9490
Pr: 0.5000 0.9170 0.7753
Pr: 0.5000 0.5000 0.0000
Pr: 0.5000 0.8005 0.0510
Pr: 0.5000 0.5830 0.2753
Pr: 0.5000 0.4170 0.7247

Total moment = 0.00 μB per atom
Formation enthalpy at 0 K = 0.0909 eV/atom
Symmetry = No. 55
E_tot = -4.6105 eV/atom
D(E_F) = 31.82 states/eV per cell
Volume = 892.5 Å³/cell



9.
Entry from Alexandria via LeMat-Bulk: Tb3Pr7Sm2 after structural relaxation (PBE-GGA).

abc: 3.6562 5.9755 19.3008
angles: 93.59 90.00 90.00
Fractional coordinates of all 12 atoms:
Pr: 0.0000 0.3261 0.8553
Pr: 0.0000 0.6739 0.1447
Pr: 0.0000 0.0000 0.0000
Pr: 0.5000 0.2578 0.5354
Pr: 0.5000 0.1773 0.1824
Pr: 0.5000 0.7422 0.4646
Pr: 0.5000 0.8227 0.8176
Sm: 0.5000 0.2946 0.7024
Sm: 0.5000 0.7054 0.2976
Tb: 0.0000 0.2167 0.3678
Tb: 0.0000 0.7833 0.6322
Tb: 0.5000 0.5000 0.0000

Total moment = 0.00 μB per atom
Formation enthalpy at 0 K = 0.0889 eV/atom
Symmetry = No. 10
E above lowest polymorph = 23 meV/atom
E_tot = -4.6432 eV/atom
D(E_F) = 17.87 states/eV per cell
Volume = 420.9 Å³/cell



10.
Entry from Alexandria via LeMat-Bulk: TbPr4Sm5 after structural relaxation (PBE-GGA).

abc: 5.8589 10.8687 10.8702
angles: 90.00 90.00 90.00
Fractional coordinates of all 20 atoms:
Sm: 0.8357 0.3383 0.6617
Sm: 0.1643 0.1617 0.1617
Sm: 0.1643 0.8383 0.8383
Sm: 0.8357 0.3383 0.3383
Sm: 0.1643 0.1617 0.8383
Sm: 0.8357 0.6617 0.3383
Sm: 0.1643 0.8383 0.1617
Sm: 0.8357 0.6617 0.6617
Sm: 0.9999 0.0000 0.5000
Sm: 0.0001 0.5000 0.0000
Pr: 0.3680 0.2062 0.5000
Pr: 0.6320 0.0000 0.2938
Pr: 0.6320 0.7062 0.0000
Pr: 0.3680 0.5000 0.7938
Pr: 0.3680 0.5000 0.2062
Pr: 0.6320 0.2938 0.0000
Pr: 0.3680 0.7938 0.5000
Pr: 0.6320 0.0000 0.7062
Tb: 0.6302 0.0000 0.0000
Tb: 0.3698 0.5000 0.5000

Total moment = 0.00 μB per atom
Formation enthalpy at 0 K = 0.1761 eV/atom
Symmetry = No. 129
E above lowest polymorph = 2 meV/atom
E_tot = -4.5583 eV/atom
D(E_F) = 25.48 states/eV per cell
Volume = 692.2 Å³/cell



11.
Entry from Alexandria via LeMat-Bulk: Tb2Pr3Sm5 after structural relaxation (PBE-GGA).

abc: 9.7932 9.7488 11.2731
angles: 126.45 126.53 68.15
Fractional coordinates of all 20 atoms:
Sm: 0.5293 0.2793 0.5586
Sm: 0.2723 0.5223 0.0446
Sm: 0.9777 0.2277 0.4553
Sm: 0.1469 0.3926 0.2614
Sm: 0.0223 0.7723 0.5447
Sm: 0.4707 0.7207 0.4414
Sm: 0.7277 0.4777 0.9554
Sm: 0.3854 0.1312 0.7386
Sm: 0.8531 0.6074 0.7386
Sm: 0.6146 0.8688 0.2614
Pr: 0.2696 0.5310 0.7508
Pr: 0.9811 0.2197 0.7508
Pr: 0.2309 0.9809 0.9618
Pr: 0.7304 0.4690 0.2492
Pr: 0.7691 0.0191 0.0382
Pr: 0.0189 0.7803 0.2492
Tb: 0.4651 0.7288 0.7411
Tb: 0.5349 0.2712 0.2589
Tb: 0.7760 0.0123 0.7411
Tb: 0.2240 0.9877 0.2589

Total moment = 0.00 μB per atom
Formation enthalpy at 0 K = 0.1826 eV/atom
Symmetry = No. 15
E above lowest polymorph = 0 meV/atom
E_tot = -4.5369 eV/atom
D(E_F) = 35.40 states/eV per cell
Volume = 695.4 Å³/cell



12.
Entry from Alexandria via LeMat-Bulk: Tb8PrSm3 after structural relaxation (PBE-GGA).

abc: 8.7225 8.7226 8.7225
angles: 97.53 136.50 98.26
Fractional coordinates of all 12 atoms:
Sm: 0.5000 0.2524 0.7524
Sm: 0.5000 0.7476 0.2476
Sm: 0.0000 0.5000 0.5000
Pr: 0.0000 0.0000 0.0000
Tb: 0.5017 0.2532 0.2483
Tb: 0.1699 0.9196 0.7497
Tb: 0.8302 0.0804 0.2503
Tb: 0.4983 0.7466 0.7515
Tb: 0.1698 0.4201 0.2503
Tb: 0.0049 0.2534 0.7517
Tb: 0.8301 0.5799 0.7497
Tb: 0.9951 0.7468 0.2485

Total moment = 0.00 μB per atom
Formation enthalpy at 0 K = 0.3051 eV/atom
Symmetry = No. 71
E_tot = -4.3598 eV/atom
D(E_F) = 15.22 states/eV per cell
Volume = 424.3 Å³/cell



Copy entry 4 word for word.
Entry from Alexandria via LeMat-Bulk: Tb2Pr5Sm12 after structural relaxation (PBE-GGA).

abc: 8.2791 10.2128 9.2148
angles: 71.30 90.00 113.91
Fractional coordinates of all 19 atoms:
Pr: 0.0000 0.0000 0.5000
Pr: 0.6964 0.3928 0.8178
Pr: 0.7617 0.5234 0.2116
Pr: 0.3036 0.6072 0.1821
Pr: 0.2383 0.4766 0.7884
Sm: 0.6588 0.7275 0.8504
Sm: 0.0778 0.6908 0.4672
Sm: 0.0687 0.7275 0.8504
Sm: 0.6131 0.6908 0.4672
Sm: 0.9222 0.3092 0.5328
Sm: 0.4912 0.9825 0.6731
Sm: 0.3412 0.2725 0.1496
Sm: 0.0483 0.0966 0.8252
Sm: 0.9517 0.9034 0.1748
Sm: 0.5088 0.0175 0.3269
Sm: 0.3869 0.3092 0.5328
Sm: 0.9313 0.2725 0.1496
Tb: 0.6747 0.0000 0.0000
Tb: 0.3253 0.0000 0.0000

Total moment = 0.00 μB per atom
Formation enthalpy at 0 K = 0.2003 eV/atom
Symmetry = No. 12
E above lowest polymorph = 101 meV/atom
E_tot = -4.5254 eV/atom
D(E_F) = 26.43 states/eV per cell
Volume = 667.0 Å³/cell